# 1
# TaReW2, relaxed, DFT GGA-PBEsol
# Magnetization in μB per cell: 0.00
# VASP energy in eV per formula unit: -52.39
# SG: Cmmm, No. 65
data_TaReW2
_cell_length_a 5.297
_cell_length_b 8.920
_cell_length_c 2.723
_cell_angle_alpha 90.00
_cell_angle_beta 90.00
_cell_angle_gamma 90.00
_symmetry_space_group_name_H-M 'P 1'
_symmetry_Int_Tables_number 1
_symmetry_space_group_name_Hall 'P 1'
loop_
_atom_site_label
_atom_site_type_symbol
_atom_site_fract_x
_atom_site_fract_y
_atom_site_fract_z
Ta1 Ta 0.000 0.000 0.000
Ta2 Ta 0.500 0.500 0.000
Re1 Re 0.000 0.500 0.000
Re2 Re 0.500 0.000 0.000
W1 W 0.250 0.250 0.500
W2 W 0.250 0.750 0.500
W3 W 0.750 0.250 0.500
W4 W 0.750 0.750 0.500

# 2
# Na2TmPCO7, relaxed, DFT GGA-PBEsol
# Magnetization in μB per cell: 0.00
# E_form (uncorrected) in eV/atom: -2.3867
# VASP energy in eV per formula unit: -88.52
# SG: P2_1/m, No. 11
data_Na2TmPCO7
_cell_length_a 5.092
_cell_length_b 6.876
_cell_length_c 9.280
_cell_angle_alpha 90.00
_cell_angle_beta 90.78
_cell_angle_gamma 90.00
_symmetry_space_group_name_H-M 'P 1'
_symmetry_Int_Tables_number 1
_symmetry_space_group_name_Hall 'P 1'
loop_
_atom_site_label
_atom_site_type_symbol
_atom_site_fract_x
_atom_site_fract_y
_atom_site_fract_z
Na1 Na 0.244 0.009 0.212
Na2 Na 0.244 0.491 0.212
Na3 Na 0.756 0.509 0.788
Na4 Na 0.756 0.991 0.788
Tm1 Tm 0.216 0.250 0.629
Tm2 Tm 0.784 0.750 0.371
P1 P 0.302 0.750 0.582
P2 P 0.698 0.250 0.418
C1 C 0.260 0.250 0.917
C2 C 0.740 0.750 0.083
O1 O 0.030 0.250 0.852
O2 O 0.192 0.566 0.653
O3 O 0.192 0.934 0.653
O4 O 0.222 0.750 0.418
O5 O 0.291 0.250 0.052
O6 O 0.393 0.250 0.410
O7 O 0.459 0.250 0.828
O8 O 0.541 0.750 0.172
O9 O 0.607 0.750 0.590
O10 O 0.709 0.750 0.948
O11 O 0.778 0.250 0.582
O12 O 0.808 0.066 0.347
O13 O 0.808 0.434 0.347
O14 O 0.970 0.750 0.148

# 3
# KAsBr2O, relaxed, DFT GGA-PBEsol
# Magnetization in μB per cell: 0.00
# E_form (uncorrected) in eV/atom: -0.4699
# VASP energy in eV per formula unit: -17.58
# SG: P4/mmm, No. 123
data_KAsBr2O
_cell_length_a 5.973
_cell_length_b 5.973
_cell_length_c 3.680
_cell_angle_alpha 90.00
_cell_angle_beta 90.00
_cell_angle_gamma 90.00
_symmetry_space_group_name_H-M 'P 1'
_symmetry_Int_Tables_number 1
_symmetry_space_group_name_Hall 'P 1'
loop_
_atom_site_label
_atom_site_type_symbol
_atom_site_fract_x
_atom_site_fract_y
_atom_site_fract_z
K1 K 0.000 0.000 0.000
As1 As 0.500 0.500 0.000
Br1 Br 0.000 0.500 0.500
Br2 Br 0.500 0.000 0.500
O1 O 0.500 0.500 0.500

Which of these has the lowest VASP energy?
Na2TmPCO7

Look up the VASP energy of the first one.
-52.39 eV per formula unit

Repeat the second record exactly.
# Na2TmPCO7, relaxed, DFT GGA-PBEsol
# Magnetization in μB per cell: 0.00
# E_form (uncorrected) in eV/atom: -2.3867
# VASP energy in eV per formula unit: -88.52
# SG: P2_1/m, No. 11
data_Na2TmPCO7
_cell_length_a 5.092
_cell_length_b 6.876
_cell_length_c 9.280
_cell_angle_alpha 90.00
_cell_angle_beta 90.78
_cell_angle_gamma 90.00
_symmetry_space_group_name_H-M 'P 1'
_symmetry_Int_Tables_number 1
_symmetry_space_group_name_Hall 'P 1'
loop_
_atom_site_label
_atom_site_type_symbol
_atom_site_fract_x
_atom_site_fract_y
_atom_site_fract_z
Na1 Na 0.244 0.009 0.212
Na2 Na 0.244 0.491 0.212
Na3 Na 0.756 0.509 0.788
Na4 Na 0.756 0.991 0.788
Tm1 Tm 0.216 0.250 0.629
Tm2 Tm 0.784 0.750 0.371
P1 P 0.302 0.750 0.582
P2 P 0.698 0.250 0.418
C1 C 0.260 0.250 0.917
C2 C 0.740 0.750 0.083
O1 O 0.030 0.250 0.852
O2 O 0.192 0.566 0.653
O3 O 0.192 0.934 0.653
O4 O 0.222 0.750 0.418
O5 O 0.291 0.250 0.052
O6 O 0.393 0.250 0.410
O7 O 0.459 0.250 0.828
O8 O 0.541 0.750 0.172
O9 O 0.607 0.750 0.590
O10 O 0.709 0.750 0.948
O11 O 0.778 0.250 0.582
O12 O 0.808 0.066 0.347
O13 O 0.808 0.434 0.347
O14 O 0.970 0.750 0.148